VASP calculation (GGA-PBE) on a relaxed SrPrHSe2 crystal.

a = 4.228 Å, b = 4.228 Å, c = 14.516 Å
α = 90.00°, β = 90.00°, γ = 90.00°
Fractional positions:
Sr 0.500 0.000 0.592
Sr 0.000 0.500 0.408
Pr 0.500 0.000 0.130
Pr 0.000 0.500 0.870
H 0.000 0.000 0.500
H 0.500 0.500 0.500
Se 0.000 0.500 0.682
Se 0.000 0.500 0.095
Se 0.500 0.000 0.905
Se 0.500 0.000 0.318

Results
symmetry: P4/nmm
density of states at the Fermi level: 0.196 states/eV per atom
E_tot: -48.3 eV per cell

=====

VASP calculation (GGA-PBE) on a relaxed Pr8Te4HSe3 crystal.

a = 8.646 Å, b = 8.801 Å, c = 8.647 Å
α = 119.43°, β = 120.00°, γ = 90.00°
Fractional positions:
Pr 0.236 0.720 0.984
Pr 0.236 0.720 0.473
Pr 0.260 0.280 0.520
Pr 0.748 0.720 0.984
Pr 0.252 0.280 0.016
Pr 0.740 0.720 0.480
Pr 0.764 0.280 0.527
Pr 0.764 0.280 0.016
Te 0.500 0.000 0.000
Te 0.500 0.000 0.500
Te 0.000 0.000 0.000
Te 0.000 0.000 0.500
H 0.000 0.500 0.000
Se 0.500 0.500 0.000
Se 0.500 0.500 0.500
Se 0.000 0.500 0.500

Results
symmetry: R-3m
density of states at the Fermi level: 0.532 states/eV per atom
E_tot: -87.2 eV per cell

=====

VASP calculation (GGA-PBE) on a relaxed Pr3SiH crystal.

a = 4.885 Å, b = 4.885 Å, c = 4.885 Å
α = 90.00°, β = 90.00°, γ = 90.00°
Fractional positions:
Pr 0.000 0.500 0.000
Pr 0.000 0.000 0.500
Pr 0.500 0.000 0.000
H 0.000 0.000 0.000
Si 0.500 0.500 0.500

Results
symmetry: Pm-3m
density of states at the Fermi level: 1.087 states/eV per atom
E_tot: -24.6 eV per cell

=====

VASP calculation (GGA-PBE) on a relaxed Pr6Si2H crystal.

a = 6.459 Å, b = 7.957 Å, c = 9.543 Å
α = 90.00°, β = 89.78°, γ = 90.00°
Fractional positions:
Pr 0.871 0.969 0.245
Pr 0.874 0.695 0.554
Pr 0.871 0.679 0.947
Pr 0.629 0.179 0.553
Pr 0.626 0.195 0.946
Pr 0.629 0.469 0.255
Pr 0.129 0.031 0.755
Pr 0.126 0.305 0.446
Pr 0.129 0.321 0.053
Pr 0.371 0.821 0.447
Pr 0.374 0.805 0.054
Pr 0.371 0.531 0.745
Si 0.926 0.382 0.745
Si 0.574 0.882 0.755
Si 0.426 0.118 0.245
Si 0.074 0.618 0.255
H 0.500 0.500 0.000
H 0.000 0.000 0.500

Results
symmetry: P2_1/c
density of states at the Fermi level: 0.997 states/eV per atom
E_tot: -92.8 eV per cell

=====

VASP calculation (GGA-PBE) on a relaxed PrSi3H12 crystal.

a = 6.882 Å, b = 6.882 Å, c = 9.774 Å
α = 69.39°, β = 69.39°, γ = 60.00°
Fractional positions:
Pr 0.073 0.073 0.780
Pr 0.573 0.573 0.280
Si 0.676 0.393 0.006
Si 0.176 0.425 0.506
Si 0.893 0.176 0.506
Si 0.393 0.925 0.006
Si 0.925 0.676 0.006
Si 0.425 0.893 0.506
H 0.143 0.102 0.986
H 0.215 0.342 0.671
H 0.969 0.935 0.496
H 0.819 0.463 0.852
H 0.319 0.366 0.352
H 0.469 0.100 0.996
H 0.715 0.272 0.171
H 0.935 0.600 0.496
H 0.643 0.269 0.486
H 0.772 0.215 0.671
H 0.963 0.319 0.352
H 0.269 0.602 0.486
H 0.100 0.435 0.996
H 0.769 0.143 0.986
H 0.463 0.866 0.852
H 0.272 0.842 0.171
H 0.842 0.715 0.171
H 0.435 0.469 0.996
H 0.602 0.643 0.486
H 0.866 0.819 0.852
H 0.366 0.963 0.352
H 0.102 0.769 0.986
H 0.342 0.772 0.671
H 0.600 0.969 0.496

Results
symmetry: R3c
density of states at the Fermi level: 0.240 states/eV per atom
E_tot: -120.2 eV per cell

=====

VASP calculation (GGA-PBE) on a relaxed Pr3SiH crystal.

a = 4.039 Å, b = 8.258 Å, c = 8.535 Å
α = 92.47°, β = 118.23°, γ = 89.99°
Fractional positions:
Pr 0.379 0.378 0.630
Pr 0.836 0.330 0.086
Pr 0.973 0.035 0.723
Pr 0.621 0.622 0.370
Pr 0.027 0.965 0.277
Pr 0.164 0.670 0.914
Si 0.374 0.770 0.624
Si 0.626 0.230 0.376
H 0.103 0.361 0.854
H 0.897 0.639 0.146

Results
symmetry: P2_1/m
density of states at the Fermi level: 1.073 states/eV per atom
E_tot: -50.0 eV per cell

=====

What did the fifth record say?
VASP calculation (GGA-PBE) on a relaxed PrSi3H12 crystal.

a = 6.882 Å, b = 6.882 Å, c = 9.774 Å
α = 69.39°, β = 69.39°, γ = 60.00°
Fractional positions:
Pr 0.073 0.073 0.780
Pr 0.573 0.573 0.280
Si 0.676 0.393 0.006
Si 0.176 0.425 0.506
Si 0.893 0.176 0.506
Si 0.393 0.925 0.006
Si 0.925 0.676 0.006
Si 0.425 0.893 0.506
H 0.143 0.102 0.986
H 0.215 0.342 0.671
H 0.969 0.935 0.496
H 0.819 0.463 0.852
H 0.319 0.366 0.352
H 0.469 0.100 0.996
H 0.715 0.272 0.171
H 0.935 0.600 0.496
H 0.643 0.269 0.486
H 0.772 0.215 0.671
H 0.963 0.319 0.352
H 0.269 0.602 0.486
H 0.100 0.435 0.996
H 0.769 0.143 0.986
H 0.463 0.866 0.852
H 0.272 0.842 0.171
H 0.842 0.715 0.171
H 0.435 0.469 0.996
H 0.602 0.643 0.486
H 0.866 0.819 0.852
H 0.366 0.963 0.352
H 0.102 0.769 0.986
H 0.342 0.772 0.671
H 0.600 0.969 0.496

Results
symmetry: R3c
density of states at the Fermi level: 0.240 states/eV per atom
E_tot: -120.2 eV per cell

=====

- Among the records above, which one has the highest density of states at the Fermi level?
  number 3

=====

Repeat the second record exactly.
VASP calculation (GGA-PBE) on a relaxed Pr8Te4HSe3 crystal.

a = 8.646 Å, b = 8.801 Å, c = 8.647 Å
α = 119.43°, β = 120.00°, γ = 90.00°
Fractional positions:
Pr 0.236 0.720 0.984
Pr 0.236 0.720 0.473
Pr 0.260 0.280 0.520
Pr 0.748 0.720 0.984
Pr 0.252 0.280 0.016
Pr 0.740 0.720 0.480
Pr 0.764 0.280 0.527
Pr 0.764 0.280 0.016
Te 0.500 0.000 0.000
Te 0.500 0.000 0.500
Te 0.000 0.000 0.000
Te 0.000 0.000 0.500
H 0.000 0.500 0.000
Se 0.500 0.500 0.000
Se 0.500 0.500 0.500
Se 0.000 0.500 0.500

Results
symmetry: R-3m
density of states at the Fermi level: 0.532 states/eV per atom
E_tot: -87.2 eV per cell

=====

- Number 5 is which compound?
  PrSi3H12